# Li3Co2Cu3O10

A geometry-optimized Li3Co2Cu3O10 structure (PBE+U, Alexandria).

Cell lengths 5.3233, 5.9106, 7.1168 Å; angles 80.16, 77.53, 74.10 degrees
Closest atoms and distances in Å follow each position.
Space group P-1 (No. 2)
Unique sites:
Li: 0.0000 0.0000 0.0000 x1  2 O 1.94
Li: 0.4660 0.6280 0.3004 x2  4 O 1.95-2.02
Co: 0.2089 0.9197 0.5818 x2  5 O 2.01-2.16
Cu: 0.0000 0.5000 0.5000 x1  4 O 1.96-1.98
Cu: 0.2783 0.3374 0.1307 x2  3 O 1.88-2.03
O: 0.0763 0.7430 0.8427 x2  1 O 1.52
O: 0.0962 0.7960 0.3714 x2  1 Li 1.95, 1 Cu 1.98, 2 Co 2.01-2.03
O: 0.3123 0.5628 0.9119 x2  1 O 1.52
O: 0.3805 0.3436 0.4709 x2  1 O 1.52
O: 0.4040 0.1405 0.3572 x2  1 O 1.52

Summary:
V	11.6	Å³/atom
crystal system	triclinic
relative energy among the computed polymorphs	26.1	kJ per mole of atoms
energy	-89.43	eV/cell
density	3.89	g/cm3